Crystalline TiVMo2O6 at its relaxed geometry. Source: Alexandria, functional PBE+U.

POSCAR file:
```
TiVMo2O6
1.0
5.310 -0.005 0.006
2.660 4.598 0.017
2.652 1.513 4.809
O V Mo Ti
6 1 2 1
Direct
0.439 0.709 0.753 O
0.099 0.439 0.753 O
0.212 0.941 0.251 O
0.709 0.099 0.753 O
0.941 0.597 0.250 O
0.597 0.211 0.251 O
0.818 0.818 0.546 V
0.515 0.515 0.456 Mo
0.017 0.017 0.950 Mo
0.316 0.316 0.051 Ti
```

SG: R3
total energy: -79.2 eV/f.u.